# CoRe (PBE, relaxed)
# **Total energy**: -9.251 eV/atom
# **Crystal system**: tetragonal
# **E_form**: 0.5265 eV/atom
data_CoRe
_chemical_formula_sum 'Co8 Re8'
_cell_length_a 9.120
_cell_length_b 9.120
_cell_length_c 2.615
_cell_angle_alpha 90.00
_cell_angle_beta 90.00
_cell_angle_gamma 90.00
_symmetry_space_group_name_H-M 'P 1'
_symmetry_Int_Tables_number 1
_symmetry_space_group_name_Hall 'P 1'
loop_
_atom_site_label
_atom_site_type_symbol
_atom_site_fract_x
_atom_site_fract_y
_atom_site_fract_z
Co1 Co 0.917 0.159 0.500
Co2 Co 0.841 0.917 0.500
Co3 Co 0.417 0.659 0.000
Co4 Co 0.159 0.083 0.500
Co5 Co 0.659 0.583 0.000
Co6 Co 0.083 0.841 0.500
Co7 Co 0.341 0.417 0.000
Co8 Co 0.583 0.341 0.000
Re1 Re 0.651 0.120 0.500
Re2 Re 0.849 0.380 0.000
Re3 Re 0.880 0.651 0.500
Re4 Re 0.120 0.349 0.500
Re5 Re 0.151 0.620 0.000
Re6 Re 0.380 0.151 0.000
Re7 Re 0.620 0.849 0.000
Re8 Re 0.349 0.880 0.500


# CePrThMg (PBE, relaxed)
# **Total energy**: -4.758 eV/atom
# **Crystal system**: cubic
# **E_form**: 0.1738 eV/atom
data_CePrThMg
_chemical_formula_sum 'Ce1 Pr1 Th1 Mg1'
_cell_length_a 5.531
_cell_length_b 5.531
_cell_length_c 5.531
_cell_angle_alpha 60.00
_cell_angle_beta 60.00
_cell_angle_gamma 60.00
_symmetry_space_group_name_H-M 'P 1'
_symmetry_Int_Tables_number 1
_symmetry_space_group_name_Hall 'P 1'
loop_
_atom_site_label
_atom_site_type_symbol
_atom_site_fract_x
_atom_site_fract_y
_atom_site_fract_z
Ce1 Ce 0.500 0.500 0.500
Mg1 Mg 0.000 0.000 0.000
Th1 Th 0.250 0.250 0.250
Pr1 Pr 0.750 0.750 0.750


# CsMgBr3O6 (PBE, relaxed)
# **Total energy**: -3.900 eV/atom
# **Formation energy (no corrections)**: -50 kJ/mol of atoms
# **Crystal system**: monoclinic
data_CsMgBr3O6
_chemical_formula_sum 'Cs2 Mg2 Br6 O12'
_cell_length_a 7.359
_cell_length_b 7.359
_cell_length_c 10.801
_cell_angle_alpha 78.19
_cell_angle_beta 78.19
_cell_angle_gamma 59.00
_symmetry_space_group_name_H-M 'P 1'
_symmetry_Int_Tables_number 1
_symmetry_space_group_name_Hall 'P 1'
loop_
_atom_site_label
_atom_site_type_symbol
_atom_site_fract_x
_atom_site_fract_y
_atom_site_fract_z
Br1 Br 0.000 0.500 0.000
Br2 Br 0.500 0.000 0.500
Br3 Br 0.235 0.422 0.248
Br4 Br 0.765 0.578 0.752
Br5 Br 0.578 0.765 0.252
Br6 Br 0.422 0.235 0.748
O1 O 0.782 0.431 0.633
O2 O 0.757 0.738 0.912
O3 O 0.937 0.665 0.661
O4 O 0.335 0.063 0.839
O5 O 0.218 0.569 0.367
O6 O 0.431 0.782 0.133
O7 O 0.243 0.262 0.088
O8 O 0.569 0.218 0.867
O9 O 0.665 0.937 0.161
O10 O 0.063 0.335 0.339
O11 O 0.262 0.243 0.588
O12 O 0.738 0.757 0.412
Cs1 Cs 0.044 0.956 0.750
Cs2 Cs 0.956 0.044 0.250
Mg1 Mg 0.000 0.500 0.500
Mg2 Mg 0.500 0.000 0.000


total energy of number 3 (CsMgBr3O6)?
-3.900 eV/atom


Number 3 is which compound?
CsMgBr3O6


Which value of total energy does entry 3 give?
-3.900 eV/atom